Record 1
Compound: KTlSi2
Source: the Alexandria database
Functional: GGA-PBE
Structure: optimized geometry

The space group is P4/mmm (No. 123) and the conventional cell measures 3.243, 3.243 and 9.533 Å, with angles of 90.00, 90.00 and 90.00 degrees. The asymmetric unit holds K at (0.000, 0.000, 0.000), Tl at (0.000, 0.000, 0.500) and Si at (0.500, 0.500, 0.275).

As for the formation energy (no corrections): 62.8 kJ per mole of atoms. The value obtained for the energy above the lowest structure with this stoichiometry is 12.44 kcal/mol of atoms. The calculation puts the size of the total moment at 0.0 Bohr magnetons per cell. The value obtained for the energy is -11.707 eV for the cell shown.

=====

Record 2
Compound: AlGe
Source: the Alexandria database
Functional: GGA-PBE
Structure: optimized geometry

The space group is Fddd (No. 70, origin choice 2) and the conventional cell measures 7.210, 7.829 and 10.592 Å, with angles of 90.00, 90.00 and 90.00 degrees. The asymmetric unit holds Al at (0.074, 0.375, 0.375) and Ge at (0.125, 0.329, 0.625).

For the energy of formation from the pure elements, the calculation gives 142 meV per atom. The calculation puts the size of the total moment at 0.0 Bohr magnetons per cell. The value obtained for the energy is -129.214 eV for the cell shown.

=====

Record 3
Compound: Ba2HfVBr
Source: the Alexandria database
Functional: GGA-PBE
Structure: optimized geometry

The space group is P4/mmm (No. 123) and the conventional cell measures 6.607, 6.607 and 4.671 Å, with angles of 90.00, 90.00 and 90.00 degrees. The asymmetric unit holds Ba at (0.000, 0.500, 0.000), Hf at (0.000, 0.000, 0.500), V at (0.500, 0.500, 0.000) and Br at (0.500, 0.500, 0.500).

As for the formation energy (no corrections): 85.9 kJ per mole of atoms. The calculation puts the size of the total moment at 3.6 Bohr magnetons per cell. The value obtained for the energy is -20.140 eV for the cell shown.

=====

Record 4
Compound: Zn3HIr
Source: the Alexandria database
Functional: GGA-PBE
Structure: optimized geometry

The space group is Pm-3m (No. 221) and the conventional cell measures 3.895, 3.895 and 3.895 Å, with angles of 90.00, 90.00 and 90.00 degrees. The asymmetric unit holds Zn at (0.000, 0.000, 0.500), H at (0.000, 0.000, 0.000) and Ir at (0.500, 0.500, 0.500).

The value obtained for the energy above the lowest structure with this stoichiometry is 0.00 kcal/mol of atoms. The calculation puts the size of the total moment at 0.0 Bohr magnetons per cell. The value obtained for the energy is -15.717 eV for the cell shown.